[1]
The following is a PBE calculation of an optimized crystal structure of Ca3Tm12Pd5, from Alexandria via LeMat-Bulk.

abc: 15.2942 15.2942 15.2942
angles: 109.47 109.47 109.47
Closest atoms and distances in Å follow each position.
Element x y z (fractional)
Ca 0.1250 0.2500 0.3750  8 Tm 3.50-3.72
Ca 0.1250 0.3750 0.7500  8 Tm 3.50-3.72
Ca 0.2500 0.3750 0.1250  8 Tm 3.50-3.72
Ca 0.2500 0.8750 0.6250  8 Tm 3.50-3.72
Ca 0.3750 0.1250 0.2500  8 Tm 3.50-3.72
Ca 0.3750 0.7500 0.1250  8 Tm 3.50-3.72
Ca 0.6250 0.2500 0.8750  8 Tm 3.50-3.72
Ca 0.6250 0.8750 0.7500  8 Tm 3.50-3.72
Ca 0.7500 0.1250 0.3750  8 Tm 3.50-3.72
Ca 0.7500 0.6250 0.8750  8 Tm 3.50-3.72
Ca 0.8750 0.6250 0.2500  8 Tm 3.50-3.72
Ca 0.8750 0.7500 0.6250  8 Tm 3.50-3.72
Tm 0.0140 0.1939 0.0936  2 Pd 2.67-2.73
Tm 0.0140 0.3201 0.9204  2 Pd 2.67-2.73
Tm 0.0796 0.5936 0.3997  2 Pd 2.67-2.73
Tm 0.0796 0.9860 0.6799  2 Pd 2.67-2.73
Tm 0.0936 0.0140 0.1939  2 Pd 2.67-2.73
Tm 0.0936 0.5796 0.8997  2 Pd 2.67-2.73
Tm 0.1003 0.6939 0.6799  2 Pd 2.67-2.73
Tm 0.1003 0.9064 0.4204  2 Pd 2.67-2.73
Tm 0.1799 0.1939 0.6003  2 Pd 2.67-2.73
Tm 0.1799 0.4860 0.5796  2 Pd 2.67-2.73
Tm 0.1939 0.0936 0.0140  2 Pd 2.67-2.73
Tm 0.1939 0.6003 0.1799  2 Pd 2.67-2.73
Tm 0.3061 0.3201 0.8997  2 Pd 2.67-2.73
Tm 0.3061 0.4860 0.4064  2 Pd 2.67-2.73
Tm 0.3201 0.8997 0.3061  2 Pd 2.67-2.73
Tm 0.3201 0.9204 0.0140  2 Pd 2.67-2.73
Tm 0.3997 0.0796 0.5936  2 Pd 2.67-2.73
Tm 0.3997 0.8201 0.8061  2 Pd 2.67-2.73
Tm 0.4064 0.3061 0.4860  2 Pd 2.67-2.73
Tm 0.4064 0.6003 0.9204  2 Pd 2.67-2.73
Tm 0.4204 0.1003 0.9064  2 Pd 2.67-2.73
Tm 0.4204 0.8201 0.5140  2 Pd 2.67-2.73
Tm 0.4860 0.4064 0.3061  2 Pd 2.67-2.73
Tm 0.4860 0.5796 0.1799  2 Pd 2.67-2.73
Tm 0.5140 0.4204 0.8201  2 Pd 2.67-2.73
Tm 0.5140 0.5936 0.6939  2 Pd 2.67-2.73
Tm 0.5796 0.1799 0.4860  2 Pd 2.67-2.73
Tm 0.5796 0.8997 0.0936  2 Pd 2.67-2.73
Tm 0.5936 0.3997 0.0796  2 Pd 2.67-2.73
Tm 0.5936 0.6939 0.5140  2 Pd 2.67-2.73
Tm 0.6003 0.1799 0.1939  2 Pd 2.67-2.73
Tm 0.6003 0.9204 0.4064  2 Pd 2.67-2.73
Tm 0.6799 0.0796 0.9860  2 Pd 2.67-2.73
Tm 0.6799 0.1003 0.6939  2 Pd 2.67-2.73
Tm 0.6939 0.5140 0.5936  2 Pd 2.67-2.73
Tm 0.6939 0.6799 0.1003  2 Pd 2.67-2.73
Tm 0.8061 0.3997 0.8201  2 Pd 2.67-2.73
Tm 0.8061 0.9064 0.9860  2 Pd 2.67-2.73
Tm 0.8201 0.5140 0.4204  2 Pd 2.67-2.73
Tm 0.8201 0.8061 0.3997  2 Pd 2.67-2.73
Tm 0.8997 0.0936 0.5796  2 Pd 2.67-2.73
Tm 0.8997 0.3061 0.3201  2 Pd 2.67-2.73
Tm 0.9064 0.4204 0.1003  2 Pd 2.67-2.73
Tm 0.9064 0.9860 0.8061  2 Pd 2.67-2.73
Tm 0.9204 0.0140 0.3201  2 Pd 2.67-2.73
Tm 0.9204 0.4064 0.6003  2 Pd 2.67-2.73
Tm 0.9860 0.6799 0.0796  2 Pd 2.67-2.73
Tm 0.9860 0.8061 0.9064  2 Pd 2.67-2.73
Pd 0.0000 0.0000 0.0000  6 Tm 2.73
Pd 0.0000 0.0000 0.5000  6 Tm 2.73
Pd 0.0000 0.5000 0.0000  6 Tm 2.73
Pd 0.0000 0.5000 0.5000  6 Tm 2.73
Pd 0.1250 0.7500 0.8750  4 Tm 2.67
Pd 0.1250 0.8750 0.2500  4 Tm 2.67
Pd 0.2500 0.1250 0.8750  4 Tm 2.67
Pd 0.2500 0.6250 0.3750  4 Tm 2.67
Pd 0.3750 0.2500 0.6250  4 Tm 2.67
Pd 0.3750 0.6250 0.7500  4 Tm 2.67
Pd 0.5000 0.0000 0.0000  6 Tm 2.73
Pd 0.5000 0.0000 0.5000  6 Tm 2.73
Pd 0.5000 0.5000 0.0000  6 Tm 2.73
Pd 0.5000 0.5000 0.5000  6 Tm 2.73
Pd 0.6250 0.3750 0.2500  4 Tm 2.67
Pd 0.6250 0.7500 0.3750  4 Tm 2.67
Pd 0.7500 0.3750 0.6250  4 Tm 2.67
Pd 0.7500 0.8750 0.1250  4 Tm 2.67
Pd 0.8750 0.1250 0.7500  4 Tm 2.67
Pd 0.8750 0.2500 0.1250  4 Tm 2.67

***

[2]
The following is a PBE calculation of an optimized crystal structure of Sr2LiMg2Cd5, from Alexandria via LeMat-Bulk.

abc: 11.4782 11.4782 3.9894
angles: 90.00 90.00 90.00
Closest atoms and distances in Å follow each position.
Element x y z (fractional)
Sr 0.1752 0.3248 0.0000  3 Mg 3.23-3.50, 2 Cd 3.47
Sr 0.3248 0.8248 0.0000  3 Mg 3.23-3.50, 2 Cd 3.47
Sr 0.6752 0.1752 0.0000  3 Mg 3.23-3.50, 2 Cd 3.47
Sr 0.8248 0.6752 0.0000  3 Mg 3.23-3.50, 2 Cd 3.47
Li 0.0000 0.0000 0.0000  8 Cd 2.99
Li 0.5000 0.5000 0.0000  8 Cd 2.99
Mg 0.1262 0.6262 0.0000  6 Cd 2.86-3.04
Mg 0.3738 0.1262 0.0000  6 Cd 2.86-3.04
Mg 0.6262 0.8738 0.0000  6 Cd 2.86-3.04
Mg 0.8738 0.3738 0.0000  6 Cd 2.86-3.04
Cd 0.0000 0.5000 0.5000  4 Mg 2.86
Cd 0.0562 0.8139 0.5000  2 Li 2.99, 2 Mg 3.04, 2 Cd 3.16
Cd 0.1861 0.0562 0.5000  2 Li 2.99, 2 Mg 3.04, 2 Cd 3.16
Cd 0.3139 0.5562 0.5000  2 Li 2.99, 2 Mg 3.04, 2 Cd 3.16
Cd 0.4438 0.3139 0.5000  2 Li 2.99, 2 Mg 3.04, 2 Cd 3.16
Cd 0.5000 0.0000 0.5000  4 Mg 2.86
Cd 0.5562 0.6861 0.5000  2 Li 2.99, 2 Mg 3.04, 2 Cd 3.16
Cd 0.6861 0.4438 0.5000  2 Li 2.99, 2 Mg 3.04, 2 Cd 3.16
Cd 0.8139 0.9438 0.5000  2 Li 2.99, 2 Mg 3.04, 2 Cd 3.16
Cd 0.9438 0.1861 0.5000  2 Li 2.99, 2 Mg 3.04, 2 Cd 3.16

***

| no. | M_tot (μB/f.u.) | DFT formation energy (eV/atom) |
| --- | --- | --- |
| 1 | 0.0 | 0.082 |
| 2 | 0.0 | -0.194 |